Entry 1:
# PBE-GGA CdCuI3, optimized geometry
data_CdCuI3
_chemical_formula_sum 'Cd4 Cu4 I12'
_cell_length_a 14.935
_cell_length_b 4.403
_cell_length_c 13.260
_cell_angle_alpha 90.00
_cell_angle_beta 97.82
_cell_angle_gamma 90.00
_space_group_name_H-M_alt 'C 1 2/m 1'
_space_group_IT_number 12
loop_
_space_group_symop_operation_xyz
'x,y,z'
'-x,-y,-z'
'-x,y,-z'
'x,-y,z'
'x+1/2,y+1/2,z'
'-x+1/2,-y+1/2,-z'
'-x+1/2,y+1/2,-z'
'x+1/2,-y+1/2,z'
loop_
_atom_site_label
_atom_site_type_symbol
_atom_site_fract_x
_atom_site_fract_y
_atom_site_fract_z
_atom_site_occupancy
Cd1 Cd 0.082 0.000 0.281 1
Cu1 Cu 0.191 0.500 0.813 1
I1 I 0.115 0.000 0.750 1
I2 I 0.131 0.500 0.413 1
I3 I 0.150 0.000 0.096 1
# V	43.2	A^3/atom
# formation energy (no corrections)	-1.9	eV per formula unit
# E	-2.309	eV per atom
# density	4.3	g cm⁻³

=====

Entry 2:
# PBE-GGA CdCuI2, optimized geometry
data_CdCuI2
_chemical_formula_sum 'Cd4 Cu4 I8'
_cell_length_a 7.595
_cell_length_b 7.595
_cell_length_c 7.595
_cell_angle_alpha 90.00
_cell_angle_beta 90.00
_cell_angle_gamma 90.00
_space_group_name_H-M_alt 'F m -3 m'
_space_group_IT_number 225
_space_group_name_Hall '-F 4 2 3'
loop_
_atom_site_label
_atom_site_type_symbol
_atom_site_fract_x
_atom_site_fract_y
_atom_site_fract_z
_atom_site_occupancy
Cd1 Cd 0.000 0.000 0.000 1
Cu1 Cu 0.000 0.000 0.500 1
I1 I 0.250 0.250 0.250 1
# V	27.4	A^3/atom
# DOS at the Fermi energy	6.84	states/eV/cell
# formation energy (no corrections)	1.1	eV per formula unit
# E	-1.751	eV per atom
# density	6.5	g cm⁻³

=====

Entry 3:
# PBE-GGA CdCu3I, optimized geometry
data_CdCu3I
_chemical_formula_sum 'Cd1 Cu3 I1'
_cell_length_a 4.933
_cell_length_b 4.933
_cell_length_c 4.933
_cell_angle_alpha 90.00
_cell_angle_beta 90.00
_cell_angle_gamma 90.00
_space_group_name_H-M_alt 'P m -3 m'
_space_group_IT_number 221
_space_group_name_Hall '-P 4 2 3'
loop_
_atom_site_label
_atom_site_type_symbol
_atom_site_fract_x
_atom_site_fract_y
_atom_site_fract_z
_atom_site_occupancy
Cd1 Cd 0.000 0.000 0.000 1
Cu1 Cu 0.000 0.000 0.500 1
I1 I 0.500 0.500 0.500 1
# V	24.0	A^3/atom
# DOS at the Fermi energy	3.52	states/eV/cell
# formation energy (no corrections)	4.2	eV per formula unit
# E	-2.113	eV per atom
# density	5.9	g cm⁻³

=====

Entry 4:
# PBE-GGA Cd2CuI, optimized geometry
data_Cd2CuI
_chemical_formula_sum 'Cd8 Cu4 I4'
_cell_length_a 7.464
_cell_length_b 7.464
_cell_length_c 8.824
_cell_angle_alpha 90.00
_cell_angle_beta 90.00
_cell_angle_gamma 90.00
_space_group_name_H-M_alt 'I -4 2 d'
_space_group_IT_number 122
_space_group_name_Hall 'I -4 2bw'
loop_
_atom_site_label
_atom_site_type_symbol
_atom_site_fract_x
_atom_site_fract_y
_atom_site_fract_z
_atom_site_occupancy
Cd1 Cd 0.193 0.250 0.125 1
Cu1 Cu 0.000 0.000 0.000 1
I1 I 0.000 0.000 0.500 1
# V	30.7	A^3/atom
# DOS at the Fermi energy	0.92	states/eV/cell
# formation energy (no corrections)	0.7	eV per formula unit
# E	-1.704	eV per atom
# density	5.6	g cm⁻³

=====

Repeat the fourth record exactly.
# PBE-GGA Cd2CuI, optimized geometry
data_Cd2CuI
_chemical_formula_sum 'Cd8 Cu4 I4'
_cell_length_a 7.464
_cell_length_b 7.464
_cell_length_c 8.824
_cell_angle_alpha 90.00
_cell_angle_beta 90.00
_cell_angle_gamma 90.00
_space_group_name_H-M_alt 'I -4 2 d'
_space_group_IT_number 122
_space_group_name_Hall 'I -4 2bw'
loop_
_atom_site_label
_atom_site_type_symbol
_atom_site_fract_x
_atom_site_fract_y
_atom_site_fract_z
_atom_site_occupancy
Cd1 Cd 0.193 0.250 0.125 1
Cu1 Cu 0.000 0.000 0.000 1
I1 I 0.000 0.000 0.500 1
# V	30.7	A^3/atom
# DOS at the Fermi energy	0.92	states/eV/cell
# formation energy (no corrections)	0.7	eV per formula unit
# E	-1.704	eV per atom
# density	5.6	g cm⁻³

=====

Repeat the third record exactly.
# PBE-GGA CdCu3I, optimized geometry
data_CdCu3I
_chemical_formula_sum 'Cd1 Cu3 I1'
_cell_length_a 4.933
_cell_length_b 4.933
_cell_length_c 4.933
_cell_angle_alpha 90.00
_cell_angle_beta 90.00
_cell_angle_gamma 90.00
_space_group_name_H-M_alt 'P m -3 m'
_space_group_IT_number 221
_space_group_name_Hall '-P 4 2 3'
loop_
_atom_site_label
_atom_site_type_symbol
_atom_site_fract_x
_atom_site_fract_y
_atom_site_fract_z
_atom_site_occupancy
Cd1 Cd 0.000 0.000 0.000 1
Cu1 Cu 0.000 0.000 0.500 1
I1 I 0.500 0.500 0.500 1
# V	24.0	A^3/atom
# DOS at the Fermi energy	3.52	states/eV/cell
# formation energy (no corrections)	4.2	eV per formula unit
# E	-2.113	eV per atom
# density	5.9	g cm⁻³